[1]
# Ag3Pb2F7 (PBE, optimized geometry)
data_Ag3Pb2F7
_cell_length_a 6.3752
_cell_length_b 6.0963
_cell_length_c 11.2792
_cell_angle_alpha 105.68
_cell_angle_beta 90.00
_cell_angle_gamma 90.00
_space_group_name_H-M_alt 'P 1'
_space_group_IT_number 1
loop_
_space_group_symop_operation_xyz
'x,y,z'
loop_
_atom_site_label
_atom_site_fract_x
_atom_site_fract_y
_atom_site_fract_z
F1 0.1656 0.7038 0.6154
F2 0.1656 0.0884 0.3846
F3 0.0115 0.2855 0.6802
Ag1 0.3168 0.4697 0.4320
F4 0.9540 0.9119 0.8583
Pb1 0.7330 0.1864 0.8022
Pb2 0.2330 0.8136 0.1978
F5 0.4540 0.0881 0.1417
F6 0.9443 0.4687 0.0000
F7 0.5115 0.7145 0.3198
F8 0.5115 0.3947 0.6802
Pb3 0.2330 0.6159 0.8022
Ag2 0.8168 0.9623 0.4320
Ag3 0.3168 0.0377 0.5680
F9 0.4443 0.5313 0.0000
F10 0.9540 0.0535 0.1417
Ag4 0.8168 0.5303 0.5680
Ag5 0.7140 0.7960 0.0000
F11 0.6656 0.2962 0.3846
Ag6 0.2140 0.2040 0.0000
F12 0.6656 0.9116 0.6154
F13 0.0115 0.6053 0.3198
Pb4 0.7330 0.3841 0.1978
F14 0.4540 0.9465 0.8583
# Formation energy from raw total energies, eV per formula unit: -19.88
# Space-group type: Cmc2_1, No. 36
# Electronic total energy, eV per cell: -97.9

---

[2]
# CsMn2FeS (PBE, optimized geometry)
data_CsMn2FeS
_cell_length_a 4.7607
_cell_length_b 4.3576
_cell_length_c 4.7607
_cell_angle_alpha 90.00
_cell_angle_beta 90.00
_cell_angle_gamma 90.00
_space_group_name_H-M_alt 'P 1'
_space_group_IT_number 1
loop_
_space_group_symop_operation_xyz
'x,y,z'
loop_
_atom_site_label
_atom_site_fract_x
_atom_site_fract_y
_atom_site_fract_z
Fe1 0.0000 0.5000 0.0000
Cs1 0.5000 0.5000 0.5000
S1 0.0000 0.0000 0.0000
Mn1 0.0000 0.0000 0.5000
Mn2 0.5000 0.0000 0.0000
# Formation energy from raw total energies, eV per formula unit: 3.59
# Space-group type: P4/mmm, No. 123
# Electronic total energy, eV per cell: -28.2